(1)
First-principles (PBE) data for crystalline Tl2ReRh at its relaxed geometry, as listed in Alexandria via LeMat-Bulk.

Output
The density comes out at 15.31 g/cm³. As for the crystal system: orthorhombic. As for the energy of formation: 0.79 eV per atom. The value obtained for the energy above the most stable polymorph in this dataset is 36.5 kJ/mol of atoms.

Lattice parameters (Å, degrees): 3.0285 3.0285 9.2119 90.00 90.00 116.41
Closest atoms and distances in Å follow each position.
Atoms (fractional coordinates):
Tl: 0.0000 0.0000 0.7580  2 Rh 2.74, 2 Re 2.86, 4 Tl 3.03
Tl: 0.0000 0.0000 0.2420  2 Rh 2.74, 2 Re 2.86, 4 Tl 3.03
Rh: 0.5000 0.5000 0.0000  4 Tl 2.74, 4 Rh 3.03
Re: 0.5000 0.5000 0.5000  4 Tl 2.86, 6 Re 3.03-3.19



(2)
First-principles (PBE) data for crystalline TaNbAlPd at its relaxed geometry, as listed in Alexandria via LeMat-Bulk.

Output
The density comes out at 9.73 g/cm³. As for the crystal system: tetragonal. As for the energy of formation: -0.14 eV per atom.

Lattice parameters (Å, degrees): 2.8307 2.8307 8.9041 99.15 99.15 90.00
Closest atoms and distances in Å follow each position.
Atoms (fractional coordinates):
Al: 0.5719 0.5719 0.1437  4 Pd 2.61, 4 Al 2.83, 4 Nb 2.86
Ta: 0.3183 0.3183 0.6366  1 Pd 2.60, 4 Ta 2.83
Pd: 0.1682 0.1682 0.3364  1 Ta 2.60, 4 Al 2.61, 4 Pd 2.83
Nb: 0.9537 0.9537 0.9075  4 Nb 2.83, 4 Al 2.86, 4 Ta 3.09



(3)
First-principles (PBE) data for crystalline RbSiHg2F8 at its relaxed geometry, as listed in Alexandria via LeMat-Bulk.

Output
The calculation puts the energy relative to the elements, uncorrected at -2267.1 meV per atom. The density comes out at 5.62 g/cm³. As for the crystal system: triclinic.

Lattice parameters (Å, degrees): 5.2322 5.4468 6.9140 88.88 89.46 91.73
Closest atoms and distances in Å follow each position.
Atoms (fractional coordinates):
F: 0.7555 0.8855 0.8614  1 Si 1.72
F: 0.0233 0.2584 0.8506  1 Si 1.73
F: 0.7852 0.1441 0.1445  1 Si 1.71
F: 0.4808 0.7357 0.4613  1 Hg 2.17
Hg: 0.5043 0.5095 0.2078  1 F 2.17
F: 0.2148 0.8559 0.8555  1 Si 1.71
Rb: 0.0000 0.0000 0.5000  10 F 2.82-3.05
Si: 0.0000 0.0000 0.0000  6 F 1.71-1.73
F: 0.9767 0.7416 0.1494  1 Si 1.73
Hg: 0.4957 0.4905 0.7922  1 F 2.17
F: 0.5192 0.2643 0.5387  1 Hg 2.17
F: 0.2445 0.1145 0.1386  1 Si 1.72



(4)
First-principles (PBE) data for crystalline Zn2AuI2 at its relaxed geometry, as listed in Alexandria via LeMat-Bulk.

Output
The calculation puts the energy relative to the elements, uncorrected at 348.0 meV per atom. The density comes out at 6.37 g/cm³. As for the crystal system: tetragonal. The value obtained for the energy above the most stable polymorph in this dataset is 19.9 kJ/mol of atoms.

Lattice parameters (Å, degrees): 5.0940 5.0940 6.8669 68.23 68.23 90.00
Closest atoms and distances in Å follow each position.
Atoms (fractional coordinates):
Zn: 0.7500 0.2500 0.5000  4 I 2.78
I: 0.3456 0.3456 0.3088  4 Zn 2.78
I: 0.6544 0.6544 0.6912  4 Zn 2.78
Zn: 0.2500 0.7500 0.5000  4 I 2.78
Au: 0.0000 0.0000 0.0000  8 Zn 3.88, 10 I 4.03-4.04



(5)
First-principles (PBE) data for crystalline HfAl3Ge at its relaxed geometry, as listed in Alexandria via LeMat-Bulk.

Output
The density comes out at 3.92 g/cm³. As for the crystal system: cubic. As for the energy of formation: 1.08 eV per atom. The value obtained for the energy above the most stable polymorph in this dataset is 32.0 kJ/mol of atoms.

Lattice parameters (Å, degrees): 5.2008 5.2008 5.2008 90.00 90.00 90.00
Closest atoms and distances in Å follow each position.
Atoms (fractional coordinates):
Ge: 0.5000 0.5000 0.5000  12 Al 3.68
Hf: 0.0000 0.0000 0.0000  6 Al 2.60
Al: 0.0000 0.0000 0.5000  2 Hf 2.60
Al: 0.5000 0.0000 0.0000  2 Hf 2.60
Al: 0.0000 0.5000 0.0000  2 Hf 2.60



(6)
First-principles (PBE) data for crystalline InGaAu3 at its relaxed geometry, as listed in Alexandria via LeMat-Bulk.

Output
The density comes out at 13.20 g/cm³. As for the crystal system: monoclinic. As for the energy of formation: -0.17 eV per atom. The value obtained for the energy above the most stable polymorph in this dataset is 0.0 kJ/mol of atoms.

Lattice parameters (Å, degrees): 4.3169 8.2437 5.8653 110.84 90.00 90.00
Closest atoms and distances in Å follow each position.
Atoms (fractional coordinates):
Au: 0.7500 0.1297 0.5461  3 Ga 2.63-2.86, 2 In 2.85, 1 Au 2.94
Au: 0.7500 0.2407 0.1219  3 Ga 2.66-2.69, 3 Au 2.90-2.94
Au: 0.2500 0.8703 0.4539  3 Ga 2.63-2.86, 2 In 2.85, 1 Au 2.94
Ga: 0.7500 0.9170 0.7903  6 Au 2.63-2.86
Au: 0.2500 0.7593 0.8781  3 Ga 2.66-2.69, 3 Au 2.90-2.94
Ga: 0.2500 0.0830 0.2097  6 Au 2.63-2.86
Au: 0.2500 0.4827 0.3352  5 Au 2.84-3.02, 3 In 2.87-2.91, 1 Ga 3.11
Au: 0.7500 0.5173 0.6648  5 Au 2.84-3.02, 3 In 2.87-2.91, 1 Ga 3.11
In: 0.7500 0.6609 0.1887  7 Au 2.85-3.11
In: 0.2500 0.3391 0.8113  7 Au 2.85-3.11



(7)
First-principles (PBE) data for crystalline Li2AlAg at its relaxed geometry, as listed in Alexandria via LeMat-Bulk.

Output
The density comes out at 3.83 g/cm³. As for the crystal system: monoclinic. As for the energy of formation: -0.17 eV per atom.

Lattice parameters (Å, degrees): 4.4472 2.7939 5.2652 80.60 90.00 90.00
Closest atoms and distances in Å follow each position.
Atoms (fractional coordinates):
Al: 0.5000 0.7636 0.7437  4 Li 2.73-2.82, 2 Ag 2.73, 2 Al 2.79
Ag: 0.0000 0.4773 0.5063  4 Li 2.71-2.84, 2 Al 2.73, 2 Ag 2.79
Li: 0.5000 0.2241 0.2450  4 Li 2.65-2.79, 2 Al 2.73-2.82, 2 Ag 2.77
Li: 0.0000 0.0350 0.0050  4 Li 2.65-2.79, 2 Ag 2.71-2.84, 2 Al 2.78



(8)
First-principles (PBE) data for crystalline Sm6CSe3S2 at its relaxed geometry, as listed in Alexandria via LeMat-Bulk.

Output
The calculation puts the energy relative to the elements, uncorrected at -1686.7 meV per atom. The density comes out at 7.13 g/cm³. As for the crystal system: monoclinic.

Lattice parameters (Å, degrees): 6.9566 6.9566 7.1353 99.33 99.33 119.91
Closest atoms and distances in Å follow each position.
Atoms (fractional coordinates):
S: 0.6660 0.3340 0.0000  6 Sm 2.82-2.83
Se: 0.8281 0.1719 0.5000  6 Sm 2.95-3.10
Sm: 0.2348 0.2348 0.7799  1 C 2.61, 2 S 2.83
S: 0.3340 0.6660 0.0000  6 Sm 2.82-2.83
Se: 0.5000 0.5000 0.5000  6 Sm 2.95-3.13
Sm: 0.0720 0.3809 0.2169  1 C 2.60, 2 S 2.82
Se: 0.1719 0.8281 0.5000  6 Sm 2.95-3.10
Sm: 0.7652 0.7652 0.2201  1 C 2.61, 2 S 2.83
Sm: 0.6191 0.9280 0.7831  1 C 2.60, 2 S 2.82
Sm: 0.3809 0.0720 0.2169  1 C 2.60, 2 S 2.82
Sm: 0.9280 0.6191 0.7831  1 C 2.60, 2 S 2.82
C: 0.0000 0.0000 0.0000  6 Sm 2.60-2.61



(9)
First-principles (PBE) data for crystalline La8PrSn2 at its relaxed geometry, as listed in Alexandria via LeMat-Bulk.

Output
The density comes out at 6.39 g/cm³. As for the crystal system: monoclinic. As for the energy of formation: -0.25 eV per atom.

Lattice parameters (Å, degrees): 6.3574 9.6099 9.6099 41.79 81.98 81.98
Closest atoms and distances in Å follow each position.
Atoms (fractional coordinates):
Sn: 0.3299 0.2627 0.2627  7 La 3.17-3.42
La: 0.4609 0.3448 0.8600  2 Sn 3.32-3.42, 4 La 3.32-3.64
La: 0.5391 0.1400 0.6552  2 Sn 3.32-3.42, 4 La 3.32-3.64
La: 0.0083 0.4160 0.4160  1 La 3.00, 1 Sn 3.17
La: 0.9917 0.5840 0.5840  1 La 3.00, 1 Sn 3.17
La: 0.1431 0.7883 0.7883  4 Sn 3.27-3.63
Sn: 0.6701 0.7373 0.7373  7 La 3.17-3.42
La: 0.4609 0.8600 0.3448  2 Sn 3.32-3.42, 4 La 3.32-3.64
La: 0.5391 0.6552 0.1400  2 Sn 3.32-3.42, 4 La 3.32-3.64
La: 0.8569 0.2117 0.2117  4 Sn 3.27-3.63
Pr: 0.0000 0.0000 0.0000  14 La 3.74-4.04



(10)
First-principles (PBE) data for crystalline Ho2ErScIn2 at its relaxed geometry, as listed in Alexandria via LeMat-Bulk.

Output
The density comes out at 8.04 g/cm³. As for the crystal system: orthorhombic. As for the energy of formation: -0.35 eV per atom.

Lattice parameters (Å, degrees): 5.2651 6.6327 9.1290 90.00 90.00 90.00
Closest atoms and distances in Å follow each position.
Atoms (fractional coordinates):
In: 0.0000 0.7582 0.1754  2 Sc 2.99, 3 Ho 3.10-3.33
Er: 0.0000 0.5073 0.5012  2 Er 3.32, 6 In 3.38-3.43, 4 Sc 3.47, 2 Ho 3.48-3.49
Ho: 0.0000 0.7595 0.8356  5 In 3.10-3.33, 4 Ho 3.45
In: 0.0000 0.2582 0.8246  2 Sc 2.99, 3 Ho 3.10-3.33
Ho: 0.5000 0.5077 0.9985  6 Ho 3.32-3.45, 2 Sc 3.44-3.45, 6 In 3.49-3.55
Sc: 0.5000 0.2558 0.6691  5 In 2.98-3.33
In: 0.5000 0.2571 0.3427  3 Sc 2.98-3.33, 2 Ho 3.10
Ho: 0.5000 0.0077 0.0015  6 Ho 3.32-3.45, 2 Sc 3.44-3.45, 6 In 3.49-3.55
Sc: 0.5000 0.7558 0.3309  5 In 2.98-3.33
Er: 0.0000 0.0073 0.4988  2 Er 3.32, 6 In 3.38-3.43, 4 Sc 3.47, 2 Ho 3.48-3.49
Ho: 0.0000 0.2595 0.1644  5 In 3.10-3.33, 4 Ho 3.45
In: 0.5000 0.7571 0.6573  3 Sc 2.98-3.33, 2 Ho 3.10



(11)
First-principles (PBE) data for crystalline RbLi4Zn3F12 at its relaxed geometry, as listed in Alexandria via LeMat-Bulk.

Output
The calculation puts the energy relative to the elements, uncorrected at -2465.0 meV per atom. The density comes out at 3.88 g/cm³. As for the crystal system: cubic.

Lattice parameters (Å, degrees): 6.6830 6.6830 6.6830 109.47 109.47 109.47
Closest atoms and distances in Å follow each position.
Atoms (fractional coordinates):
Li: 0.0000 0.5000 0.0000  6 F 2.08
Zn: 0.5000 0.0000 0.5000  4 F 1.95
F: 0.1798 0.8570 0.6772  1 Zn 1.95, 2 Li 2.08
F: 0.6772 0.8202 0.4975  1 Zn 1.95, 2 Li 2.08
Li: 0.5000 0.0000 0.0000  6 F 2.08
Li: 0.0000 0.0000 0.5000  6 F 2.08
F: 0.8202 0.4975 0.6772  1 Zn 1.95, 2 Li 2.08
Zn: 0.5000 0.5000 0.0000  4 F 1.95
Li: 0.5000 0.5000 0.5000  6 F 2.08
F: 0.1430 0.3228 0.8202  1 Zn 1.95, 2 Li 2.08
F: 0.4975 0.6772 0.8202  1 Zn 1.95, 2 Li 2.08
F: 0.3228 0.8202 0.1430  1 Zn 1.95, 2 Li 2.08
F: 0.3228 0.1798 0.5025  1 Zn 1.95, 2 Li 2.08
Rb: 0.0000 0.0000 0.0000  12 F 2.85
F: 0.5025 0.3228 0.1798  1 Zn 1.95, 2 Li 2.08
F: 0.8570 0.6772 0.1798  1 Zn 1.95, 2 Li 2.08
F: 0.1798 0.5025 0.3228  1 Zn 1.95, 2 Li 2.08
F: 0.6772 0.1798 0.8570  1 Zn 1.95, 2 Li 2.08
F: 0.8202 0.1430 0.3228  1 Zn 1.95, 2 Li 2.08
Zn: 0.0000 0.5000 0.5000  4 F 1.95



(12)
First-principles (PBE) data for crystalline AgAsIr2 at its relaxed geometry, as listed in Alexandria via LeMat-Bulk.

Output
The density comes out at 14.68 g/cm³. As for the crystal system: cubic. As for the energy of formation: 0.51 eV per atom.

Lattice parameters (Å, degrees): 4.4938 4.4938 4.4938 60.00 60.00 60.00
Closest atoms and distances in Å follow each position.
Atoms (fractional coordinates):
Ir: 0.0000 0.0000 0.0000  4 As 2.75, 4 Ir 2.75
Ag: 0.5000 0.5000 0.5000  4 Ir 2.75, 4 As 2.75
As: 0.7500 0.7500 0.7500  4 Ir 2.75, 4 Ag 2.75
Ir: 0.2500 0.2500 0.2500  4 Ir 2.75, 4 Ag 2.75



(13)
First-principles (PBE) data for crystalline Sm3Er4Tm3 at its relaxed geometry, as listed in Alexandria via LeMat-Bulk.

Output
The density comes out at 8.51 g/cm³. As for the crystal system: orthorhombic. As for the energy of formation: 0.10 eV per atom.

Lattice parameters (Å, degrees): 3.6528 9.3220 9.3220 90.23 90.00 90.00
Closest atoms and distances in Å follow each position.
Atoms (fractional coordinates):
Tm: 0.5000 0.1735 0.8265  6 Er 3.21-3.34
Er: 0.0000 0.3731 0.6269  2 Tm 3.21, 1 Er 3.34, 4 Sm 3.37
Er: 0.0000 0.8774 0.8727  4 Sm 3.22-3.37, 1 Er 3.29, 2 Tm 3.34
Sm: 0.5000 0.3260 0.3271  6 Er 3.22-3.37
Sm: 0.5000 0.6729 0.6740  6 Er 3.22-3.37
Tm: 0.0000 0.0017 0.5051  4 Er 3.62-3.76, 4 Tm 3.65-3.85, 6 Sm 3.90-3.94
Er: 0.0000 0.6258 0.3742  6 Sm 3.23-3.37, 1 Er 3.34
Sm: 0.5000 0.8274 0.1726  6 Er 3.23-3.37
Tm: 0.0000 0.4949 0.9983  4 Er 3.62-3.76, 4 Tm 3.65-3.85, 6 Sm 3.90-3.94
Er: 0.0000 0.1273 0.1226  4 Sm 3.22-3.37, 1 Er 3.29, 2 Tm 3.34



(14)
First-principles (PBE) data for crystalline La6Tc2IBr3 at its relaxed geometry, as listed in Alexandria via LeMat-Bulk.

Output
The calculation puts the energy relative to the elements, uncorrected at -873.6 meV per atom. The density comes out at 5.99 g/cm³. As for the crystal system: monoclinic.

Lattice parameters (Å, degrees): 4.2451 9.6817 9.9452 103.88 102.32 90.00
Closest atoms and distances in Å follow each position.
Atoms (fractional coordinates):
Br: 0.1537 0.8348 0.3075  4 La 3.21-3.55
Br: 0.5000 0.5000 0.0000  6 La 3.21-3.35
La: 0.9690 0.7255 0.9380  1 Tc 2.42
La: 0.3209 0.8522 0.6419  2 Tc 2.86
I: 0.5000 0.0000 0.0000  6 La 3.34-3.42
La: 0.6791 0.1478 0.3581  2 Tc 2.86
La: 0.6770 0.5553 0.3540  3 Tc 2.99-3.09
La: 0.3230 0.4447 0.6460  3 Tc 2.99-3.09
Tc: 0.1596 0.3323 0.3191  1 La 2.42
Br: 0.8463 0.1652 0.6925  4 La 3.21-3.55
La: 0.0310 0.2745 0.0620  1 Tc 2.42
Tc: 0.8404 0.6677 0.6809  1 La 2.42



(15)
First-principles (PBE) data for crystalline Nb2Mo3W7 at its relaxed geometry, as listed in Alexandria via LeMat-Bulk.

Output
The density comes out at 13.44 g/cm³. As for the crystal system: orthorhombic. As for the energy of formation: 0.42 eV per atom.

Lattice parameters (Å, degrees): 4.4360 4.4851 11.1642 101.59 90.00 90.00
Closest atoms and distances in Å follow each position.
Atoms (fractional coordinates):
W: 0.0000 0.5725 0.1450  4 Mo 2.73-2.76, 2 W 2.75, 2 Nb 2.78
W: 0.5000 0.0726 0.1452  2 W 2.73, 4 Mo 2.75-2.77, 2 Nb 2.76
Mo: 0.5000 0.3527 0.7054  6 W 2.65-2.77
W: 0.0000 0.2861 0.5722  2 Mo 2.65, 2 Nb 2.67, 2 W 2.74
W: 0.0000 0.7139 0.4278  2 Mo 2.65, 2 Nb 2.67, 2 W 2.74
Mo: 0.5000 0.5000 0.0000  8 W 2.73-2.75
W: 0.0000 0.0000 0.0000  8 W 2.73-2.75
Nb: 0.0000 0.8525 0.7050  6 W 2.67-2.78
W: 0.5000 0.9274 0.8548  2 W 2.73, 4 Mo 2.75-2.77, 2 Nb 2.76
W: 0.0000 0.4275 0.8550  4 Mo 2.73-2.76, 2 W 2.75, 2 Nb 2.78
Nb: 0.0000 0.1475 0.2950  6 W 2.67-2.78
Mo: 0.5000 0.6473 0.2946  6 W 2.65-2.77



(16)
First-principles (PBE) data for crystalline Mn2CuC at its relaxed geometry, as listed in Alexandria via LeMat-Bulk.

Output
The density comes out at 8.08 g/cm³. As for the crystal system: cubic. As for the energy of formation: 0.96 eV per atom. The value obtained for the energy above the most stable polymorph in this dataset is 84.0 kJ/mol of atoms.

Lattice parameters (Å, degrees): 3.7776 3.7776 3.7776 60.00 60.00 60.00
Closest atoms and distances in Å follow each position.
Atoms (fractional coordinates):
Mn: 0.2500 0.2500 0.2500  4 Cu 2.31, 4 C 2.31
Cu: 0.5000 0.5000 0.5000  8 Mn 2.31
C: 0.0000 0.0000 0.0000  8 Mn 2.31
Mn: 0.7500 0.7500 0.7500  4 C 2.31, 4 Cu 2.31



(17)
First-principles (PBE) data for crystalline CsMn2I2 at its relaxed geometry, as listed in Alexandria via LeMat-Bulk.

Output
The calculation puts the energy relative to the elements, uncorrected at 46.6 meV per atom. The density comes out at 4.74 g/cm³. As for the crystal system: tetragonal. The value obtained for the energy above the most stable polymorph in this dataset is 0.0 kJ/mol of atoms.

Lattice parameters (Å, degrees): 5.5874 5.5874 6.8289 65.85 65.85 90.00
Closest atoms and distances in Å follow each position.
Atoms (fractional coordinates):
Mn: 0.6177 0.6177 0.7646  1 Mn 2.62
Cs: 0.0000 0.0000 0.0000  8 I 3.94, 10 Mn 4.16-4.26
I: 0.7500 0.2500 0.5000  4 Mn 3.16
I: 0.2500 0.7500 0.5000  4 Mn 3.16
Mn: 0.3823 0.3823 0.2354  1 Mn 2.62



The records above give, respectively, electronic total energy values of -21.37, -31.43, -49.17, -7.19, -20.38, -32.94, -11.11, -76.49, -54.94, -55.30, -84.20, -23.20, -44.83, -67.35, -138.31, -27.82, -22.06 eV/cell.